The following is a PBE+U calculation of an optimized crystal structure of FePb3F, from the Alexandria database.

Properties
- Magnetization: 3.3 μB per formula unit
- Space-group type: Pm-3m (221)
- Total DFT energy (no corrections): -0.134 Ha/atom
- Calculated density: 8.869 g/cm³
- Energy above the most stable polymorph in this dataset: 0.000 eV per atom

Lattice parameters (Å, degrees): 5.0709 5.0709 5.0709 90.00 90.00 90.00
With the nearest neighbours (Å) after each atom.
Atoms (fractional coordinates):
Fe1 0.5000 0.5000 0.5000  12 Pb 3.59
Pb1 0.0000 0.5000 0.0000  2 F 2.54
Pb2 0.5000 0.0000 0.0000  2 F 2.54
Pb3 0.0000 0.0000 0.5000  2 F 2.54
F1 0.0000 0.0000 0.0000  6 Pb 2.54